Here is a geometry-optimized CaMnIO6 structure from Alexandria via LeMat-Bulk. Energies are from PBE with a Hubbard U.

Properties
Uncorrected energy = -5.668 eV per atom
Magnetic moment = 4.0 μB per formula unit

```
CaMnIO6
1.0
5.574 0.000 0.000
-2.787 4.827 0.000
0.000 0.000 8.608
Ca Mn I O
2 2 2 12
Direct
0.333 0.667 0.250
0.667 0.333 0.750
0.000 0.000 0.000
0.000 0.000 0.500
0.333 0.667 0.750
0.667 0.333 0.250
0.059 0.375 0.626
0.059 0.684 0.874
0.316 0.375 0.874
0.316 0.941 0.626
0.375 0.059 0.126
0.375 0.316 0.374
0.625 0.684 0.626
0.625 0.941 0.874
0.684 0.059 0.374
0.684 0.625 0.126
0.941 0.316 0.126
0.941 0.625 0.374
```